LaTaRe | PBE-GGA | relaxed

Results
symmetry	F-43m, No. 216
total magnetic moment	0.000	μB/cell
DOS(E_F)	4.9	states/eV/cell
energy relative to the lowest polymorph listed for this composition	1611	meV per atom
uncorrected energy	-7.93	eV/atom

a = 4.5695 Å, b = 4.5695 Å, c = 4.5695 Å
α = 60.00°, β = 60.00°, γ = 60.00°
With the nearest neighbours (Å) after each atom.
Fractional coordinates of all 3 atoms:
La: 0.0000 0.0000 0.0000  4 Re 2.80, 4 Ta 2.80
Ta: 0.2500 0.2500 0.2500  4 La 2.80
Re: 0.7500 0.7500 0.7500  4 La 2.80



LaTa2Re | PBE-GGA | relaxed

Results
symmetry	I4/mmm, No. 139
total magnetic moment	0.001	μB/cell
DOS(E_F)	6.3	states/eV/cell
energy relative to the lowest polymorph listed for this composition	653	meV per atom
uncorrected energy	-9.48	eV/atom

a = 5.2836 Å, b = 5.2836 Å, c = 5.2836 Å
α = 131.87°, β = 131.87°, γ = 70.44°
With the nearest neighbours (Å) after each atom.
Fractional coordinates of all 4 atoms:
La: 0.0000 0.0000 0.0000  4 Re 3.05, 8 Ta 3.05
Ta: 0.2500 0.7500 0.5000  4 Ta 3.05, 4 La 3.05, 4 Re 3.05
Ta: 0.7500 0.2500 0.5000  4 Ta 3.05, 4 La 3.05, 4 Re 3.05
Re: 0.5000 0.5000 0.0000  4 La 3.05, 8 Ta 3.05



La2TaRe | PBE-GGA | relaxed

Results
symmetry	C2/m, No. 12
total magnetic moment	0.000	μB/cell
DOS(E_F)	5.3	states/eV/cell
energy relative to the lowest polymorph listed for this composition	568	meV per atom
uncorrected energy	-7.84	eV/atom

a = 6.0300 Å, b = 6.0300 Å, c = 3.0691 Å
α = 101.17°, β = 101.17°, γ = 120.47°
With the nearest neighbours (Å) after each atom.
Fractional coordinates of all 4 atoms:
La: 0.0000 0.5000 0.0000  6 La 2.99-3.35, 2 Ta 3.11, 2 Re 3.11
La: 0.5000 0.0000 0.0000  6 La 2.99-3.35, 2 Ta 3.11, 2 Re 3.11
Ta: 0.0000 0.0000 0.5000  4 Re 2.99-3.35, 2 Ta 3.07, 4 La 3.11
Re: 0.5000 0.5000 0.5000  4 Ta 2.99-3.35, 2 Re 3.07, 4 La 3.11



LaTaRe4 | PBE-GGA | relaxed

Results
symmetry	F-43m, No. 216
total magnetic moment	0.000	μB/cell
DOS(E_F)	8.2	states/eV/cell
uncorrected energy	-10.88	eV/atom

a = 5.3835 Å, b = 5.3835 Å, c = 5.3835 Å
α = 60.00°, β = 60.00°, γ = 60.00°
With the nearest neighbours (Å) after each atom.
Fractional coordinates of all 6 atoms:
La: 0.0000 0.0000 0.0000  12 Re 3.16, 4 Ta 3.30
Ta: 0.2500 0.2500 0.2500  12 Re 3.16, 4 La 3.30
Re: 0.1267 0.6244 0.6244  6 Re 2.68-2.70
Re: 0.6244 0.1267 0.6244  6 Re 2.68-2.70
Re: 0.6244 0.6244 0.1267  6 Re 2.68-2.70
Re: 0.6244 0.6244 0.6244  6 Re 2.68-2.70



La2TaRe | PBE-GGA | relaxed

Results
symmetry	Immm, No. 71
total magnetic moment	0.004	μB/cell
DOS(E_F)	4.6	states/eV/cell
energy relative to the lowest polymorph listed for this composition	218	meV per atom
uncorrected energy	-8.19	eV/atom

a = 8.7627 Å, b = 8.7627 Å, c = 8.7627 Å
α = 158.02°, β = 152.48°, γ = 35.49°
With the nearest neighbours (Å) after each atom.
Fractional coordinates of all 4 atoms:
La: 0.1519 0.1519 0.0000  2 Re 3.04, 2 Ta 3.28, 2 La 3.34
La: 0.8481 0.8481 0.0000  2 Re 3.04, 2 Ta 3.28, 2 La 3.34
Ta: 0.5000 0.0000 0.5000  4 Re 2.67
Re: 0.0000 0.5000 0.5000  4 Ta 2.67



La2TaRe | PBE-GGA | relaxed

Results
symmetry	P2/m, No. 10
total magnetic moment	0.000	μB/cell
DOS(E_F)	4.9	states/eV/cell
energy relative to the lowest polymorph listed for this composition	541	meV per atom
uncorrected energy	-7.87	eV/atom

a = 3.0498 Å, b = 5.3474 Å, c = 5.6212 Å
α = 90.00°, β = 102.18°, γ = 90.00°
With the nearest neighbours (Å) after each atom.
Fractional coordinates of all 4 atoms:
La: 0.1774 0.0000 0.2619  5 La 2.92-3.09, 2 Re 3.09
La: 0.8226 0.0000 0.7381  5 La 2.92-3.09, 2 Re 3.09
Ta: 0.5000 0.5000 0.0000  2 Re 2.90, 2 Ta 3.05
Re: 0.0000 0.5000 0.5000  2 Ta 2.90, 2 Re 3.05, 4 La 3.09



La2TaRe | PBE-GGA | relaxed

Results
symmetry	Pmmm, No. 47
total magnetic moment	0.003	μB/cell
DOS(E_F)	6.2	states/eV/cell
energy relative to the lowest polymorph listed for this composition	545	meV per atom
uncorrected energy	-7.87	eV/atom

a = 3.4818 Å, b = 4.9173 Å, c = 5.2066 Å
α = 90.00°, β = 90.00°, γ = 90.00°
With the nearest neighbours (Å) after each atom.
Fractional coordinates of all 4 atoms:
La: 0.0000 0.0000 0.0000  4 La 3.01, 4 Re 3.13
La: 0.5000 0.5000 0.0000  4 La 3.01, 4 Ta 3.13
Ta: 0.0000 0.5000 0.5000  4 Re 3.01, 4 La 3.13
Re: 0.5000 0.0000 0.5000  4 Ta 3.01, 4 La 3.13



La3TaRe | PBE-GGA | relaxed

Results
symmetry	Pm-3m, No. 221
total magnetic moment	0.000	μB/cell
DOS(E_F)	15.9	states/eV/cell
energy relative to the lowest polymorph listed for this composition	0	meV per atom
uncorrected energy	-6.84	eV/atom

a = 5.4499 Å, b = 5.4499 Å, c = 5.4499 Å
α = 90.00°, β = 90.00°, γ = 90.00°
With the nearest neighbours (Å) after each atom.
Fractional coordinates of all 5 atoms:
La: 0.0000 0.0000 0.5000  2 Re 2.72
La: 0.0000 0.5000 0.0000  2 Re 2.72
La: 0.5000 0.0000 0.0000  2 Re 2.72
Ta: 0.5000 0.5000 0.5000  12 La 3.85
Re: 0.0000 0.0000 0.0000  6 La 2.72



La2TaRe | PBE-GGA | relaxed

Results
symmetry	P4/mmm, No. 123
total magnetic moment	0.000	μB/cell
DOS(E_F)	7.0	states/eV/cell
energy relative to the lowest polymorph listed for this composition	639	meV per atom
uncorrected energy	-7.77	eV/atom

a = 3.2349 Å, b = 3.2349 Å, c = 9.1437 Å
α = 90.00°, β = 90.00°, γ = 90.00°
With the nearest neighbours (Å) after each atom.
Fractional coordinates of all 4 atoms:
La: 0.0000 0.0000 0.2225  4 Re 3.06, 4 La 3.23, 4 Ta 3.42
La: 0.0000 0.0000 0.7775  4 Re 3.06, 4 La 3.23, 4 Ta 3.42
Ta: 0.5000 0.5000 0.5000  4 Ta 3.23, 8 La 3.42
Re: 0.5000 0.5000 0.0000  8 La 3.06, 4 Re 3.23



La2TaRe | PBE-GGA | relaxed

Results
symmetry	Cm, No. 8
total magnetic moment	0.000	μB/cell
DOS(E_F)	3.0	states/eV/cell
energy relative to the lowest polymorph listed for this composition	135	meV per atom
uncorrected energy	-8.28	eV/atom

a = 6.2824 Å, b = 6.2824 Å, c = 5.3060 Å
α = 114.89°, β = 114.89°, γ = 32.94°
With the nearest neighbours (Å) after each atom.
Fractional coordinates of all 4 atoms:
La: 0.0000 0.0000 0.0000  4 Ta 3.30, 2 Re 3.32, 6 La 3.50-3.59
La: 0.2221 0.2221 0.7228  4 Re 3.22, 2 Ta 3.44, 6 La 3.50-3.59
Ta: 0.4242 0.4242 0.4243  2 Re 2.53
Re: 0.7584 0.7584 0.2591  2 Ta 2.53



LaTa2Re | PBE-GGA | relaxed

Results
symmetry	R-3m, No. 166
total magnetic moment	0.000	μB/cell
DOS(E_F)	4.6	states/eV/cell
energy relative to the lowest polymorph listed for this composition	320	meV per atom
uncorrected energy	-9.81	eV/atom

a = 10.0612 Å, b = 10.0612 Å, c = 10.0612 Å
α = 17.67°, β = 17.67°, γ = 17.67°
With the nearest neighbours (Å) after each atom.
Fractional coordinates of all 4 atoms:
La: 0.0000 0.0000 0.0000  6 La 3.09, 6 Ta 3.39
Ta: 0.2362 0.2362 0.2362  3 Re 2.73
Ta: 0.7638 0.7638 0.7638  3 Re 2.73
Re: 0.5000 0.5000 0.5000  6 Ta 2.73



LaTa2Re | PBE-GGA | relaxed

Results
symmetry	Fm-3m, No. 225
total magnetic moment	0.000	μB/cell
DOS(E_F)	5.7	states/eV/cell
energy relative to the lowest polymorph listed for this composition	249	meV per atom
uncorrected energy	-9.89	eV/atom

a = 4.7673 Å, b = 4.7673 Å, c = 4.7673 Å
α = 60.00°, β = 60.00°, γ = 60.00°
With the nearest neighbours (Å) after each atom.
Fractional coordinates of all 4 atoms:
La: 0.0000 0.0000 0.0000  8 Ta 2.92
Ta: 0.2500 0.2500 0.2500  4 Re 2.92, 4 La 2.92
Ta: 0.7500 0.7500 0.7500  4 Re 2.92, 4 La 2.92
Re: 0.5000 0.5000 0.5000  8 Ta 2.92